1.
A geometry-optimized Bi6PdRhAu2 structure, computed with PBE.

Cell lengths 7.6396, 6.7791, 12.4502 Å; angles 90.00, 127.29, 90.00 degrees
Space group P2_1/c (No. 14)
Symmetry-distinct sites (fractional):
1 Bi 0.0758 0.0391 0.2539 [4 per cell]
2 Bi 0.2482 0.1420 0.5815 [4 per cell]
3 Bi 0.4087 0.6549 0.5762 [4 per cell]
4 Pd 0.0000 0.0000 0.0000 [2 per cell]
5 Rh 0.5000 0.0000 0.5000 [2 per cell]
6 Au 0.3043 0.6864 0.2589 [4 per cell]

Calculated values
magnetization = 0.00 μB/f.u.
crystal system = monoclinic
energy of formation from the pure elements = -10.0 kJ per mole of atoms

2.
A geometry-optimized LiZn2Sb structure, computed with PBE.

Cell lengths 6.7311, 6.7311, 6.7311 Å; angles 90.00, 90.00, 90.00 degrees
Space group F-43m (No. 216)
Symmetry-distinct sites (fractional):
1 Li 0.0000 0.0000 0.0000 [4 per cell]
2 Zn 0.0000 0.0000 0.5000 [4 per cell]
3 Zn 0.2500 0.2500 0.7500 [4 per cell]
4 Sb 0.2500 0.2500 0.2500 [4 per cell]

Calculated values
magnetization = 0.00 μB/f.u.
crystal system = cubic
uncorrected formation energy = -80 meV per atom

3.
A geometry-optimized Ac3Zn4In4 structure, computed with PBE.

Cell lengths 4.8393, 7.6064, 15.8351 Å; angles 90.00, 90.00, 90.00 degrees
Space group Immm (No. 71)
Symmetry-distinct sites (fractional):
1 Ac 0.0000 0.0000 0.0000 [2 per cell]
2 Ac 0.0000 0.5000 0.1288 [4 per cell]
3 Zn 0.0000 0.0000 0.2191 [4 per cell]
4 Zn 0.0000 0.1693 0.5000 [4 per cell]
5 In 0.0000 0.3081 0.3383 [8 per cell]

Calculated values
magnetization = 0.00 μB/f.u.
crystal system = orthorhombic
energy of formation from the pure elements = -31.4 kJ per mole of atoms